Entry 1:
VASP calculation (meta-GGA SCAN) on a crystal of InFeSi relaxed with PBEsol.

As for the space group: No. 107. The value obtained for the volume is 14.65 Å³/atom. The uncorrected formation energy is 46 kJ/mol of formula units.

Cell lengths 5.1448, 5.1448, 5.1448 Å; angles 145.29, 145.29, 49.90 degrees
Closest atoms and distances in Å follow each position.
Element x y z (fractional)
In 0.0000 0.0000 0.0000  5 Si 2.73-2.91, 5 Fe 2.83-2.84
Fe 0.3033 0.3033 0.0000  4 Si 2.35
Si 0.7075 0.7075 0.0000  4 Fe 2.35

=====

Entry 2:
VASP calculation (meta-GGA SCAN) on a crystal of InFe2Sn relaxed with PBEsol.

As for the space group: No. 225. The value obtained for the volume is 14.47 Å³/atom. As for the formation energy: 0.54 eV per atom.

Cell lengths 4.3422, 4.3422, 4.3422 Å; angles 60.00, 60.00, 60.00 degrees
Closest atoms and distances in Å follow each position.
Element x y z (fractional)
In 0.0000 0.0000 0.0000  8 Fe 2.66
Fe 0.2500 0.2500 0.2500  4 In 2.66, 4 Sn 2.66
Fe 0.7500 0.7500 0.7500  4 In 2.66, 4 Sn 2.66
Sn 0.5000 0.5000 0.5000  8 Fe 2.66

=====

Entry 3:
VASP calculation (meta-GGA SCAN) on a crystal of InFe3Sn relaxed with PBEsol.

As for the space group: No. 221. The value obtained for the volume is 20.88 Å³/atom. As for the formation energy: 1.32 eV per atom.

Cell lengths 4.7089, 4.7089, 4.7089 Å; angles 90.00, 90.00, 90.00 degrees
Closest atoms and distances in Å follow each position.
Element x y z (fractional)
In 0.0000 0.0000 0.0000  6 Fe 2.35
Fe 0.0000 0.0000 0.5000  2 In 2.35
Fe 0.0000 0.5000 0.0000  2 In 2.35
Fe 0.5000 0.0000 0.0000  2 In 2.35
Sn 0.5000 0.5000 0.5000  12 Fe 3.33